TePdPt: optimized geometry, PBE.

Values from the calculation:
Calculated density: 10.51 g/cm3
Formation energy from raw total energies: -0.206 eV per atom
Total moment: 0.000 μB/atom

Lattice parameters (Å, degrees): 7.580 4.408 8.890 90.00 114.05 90.00
Space group C2/m (No. 12)
Inequivalent atoms, fractional coordinates:
Te 0.198 0.000 0.211 [4 per cell]
Pd 0.142 0.500 0.445 [4 per cell]
Pt 0.086 0.000 0.684 [4 per cell]

***

Nb2V2SiRu5: optimized geometry, PBE.

Values from the calculation:
Calculated density: 9.17 g/cm3
Formation energy from raw total energies: -0.182 eV per atom
Total moment: 0.000 μB/atom

Lattice parameters (Å, degrees): 10.014 10.014 2.966 90.00 90.00 90.00
Space group P4/mbm (No. 127)
Inequivalent atoms, fractional coordinates:
Nb 0.178 0.322 0.000 [4 per cell]
V 0.138 0.638 0.000 [4 per cell]
Si 0.000 0.000 0.000 [2 per cell]
Ru 0.000 0.500 0.500 [2 per cell]
Ru 0.043 0.805 0.500 [8 per cell]